No. 1
! Pm4Pr2Er, relaxed, DFT GGA-PBE; values from VASP
! Symmetry ... Cmce (64)
! E_form ... 0.143 eV per atom
! Excess energy over the best structure of this formula in the dataset ... 129.3 meV/atom
&SYSTEM
  ibrav = 0, nat = 14, ntyp = 3
/
ATOMIC_SPECIES
Pm 145.00 Pm.upf
Pr 140.91 Pr.upf
Er 167.26 Er.upf
CELL_PARAMETERS angstrom
2.7105 -5.7683 0.0000
2.7105 5.7683 0.0000
0.0000 0.0000 15.6320
ATOMIC_POSITIONS crystal
Pm 0.1041 0.8959 0.8064
Pm 0.2057 0.7943 0.5698
Pm 0.2943 0.7057 0.0698
Pm 0.3959 0.6041 0.3064
Pm 0.6041 0.3959 0.6936
Pm 0.7057 0.2943 0.9302
Pm 0.7943 0.2057 0.4302
Pm 0.8959 0.1041 0.1936
Pr 0.1043 0.8957 0.3440
Pr 0.3957 0.6043 0.8440
Pr 0.6043 0.3957 0.1560
Pr 0.8957 0.1043 0.6560
Er 0.0000 0.0000 0.0000
Er 0.5000 0.5000 0.5000

=====

No. 2
! CaPuPb, relaxed, DFT GGA-PBE; values from VASP
! Symmetry ... P6_3/mmc (194)
! E_form ... -0.229 eV per atom
! Excess energy over the best structure of this formula in the dataset ... 0.0 meV/atom
&SYSTEM
  ibrav = 0, nat = 6, ntyp = 3
/
ATOMIC_SPECIES
Ca 40.08 Ca.upf
Pu 244.00 Pu.upf
Pb 207.20 Pb.upf
CELL_PARAMETERS angstrom
5.5363 0.0000 0.0000
-2.7682 4.7946 0.0000
0.0000 0.0000 6.6652
ATOMIC_POSITIONS crystal
Ca 0.3333 0.6667 0.2500
Ca 0.6667 0.3333 0.7500
Pu 0.0000 0.0000 0.0000
Pu 0.0000 0.0000 0.5000
Pb 0.3333 0.6667 0.7500
Pb 0.6667 0.3333 0.2500

=====

No. 3
! ThB4Ru4, relaxed, DFT GGA-PBE; values from VASP
! Symmetry ... P4_2/n (86)
! E_form ... -0.526 eV per atom
! Excess energy over the best structure of this formula in the dataset ... 25.6 meV/atom
&SYSTEM
  ibrav = 0, nat = 18, ntyp = 3
/
ATOMIC_SPECIES
Th 232.04 Th.upf
B 10.81 B.upf
Ru 101.07 Ru.upf
CELL_PARAMETERS angstrom
7.5430 0.0000 0.0000
0.0000 7.5430 0.0000
0.0000 0.0000 4.0312
ATOMIC_POSITIONS crystal
Th 0.2500 0.2500 0.2500
Th 0.7500 0.7500 0.7500
B 0.0373 0.9149 0.1400
B 0.0851 0.5373 0.6400
B 0.4149 0.9627 0.6400
B 0.4627 0.5851 0.1400
B 0.5373 0.4149 0.8600
B 0.5851 0.0373 0.3600
B 0.9149 0.4627 0.3600
B 0.9627 0.0851 0.8600
Ru 0.1061 0.6405 0.1415
Ru 0.1405 0.8939 0.6415
Ru 0.3595 0.6061 0.6415
Ru 0.3939 0.8595 0.1415
Ru 0.6061 0.1405 0.8585
Ru 0.6405 0.3939 0.3585
Ru 0.8595 0.1061 0.3585
Ru 0.8939 0.3595 0.8585

=====

No. 4
! CeTl2SnTe4, relaxed, DFT GGA-PBE; values from VASP
! Symmetry ... P2/m (10)
! Formation energy from raw total energies ... -0.66 eV/atom
&SYSTEM
  ibrav = 0, nat = 8, ntyp = 4
/
ATOMIC_SPECIES
Ce 140.12 Ce.upf
Tl 204.38 Tl.upf
Sn 118.71 Sn.upf
Te 127.60 Te.upf
CELL_PARAMETERS angstrom
7.9937 0.0000 0.0000
0.0000 4.5403 0.0000
-2.5765 0.0000 7.9603
ATOMIC_POSITIONS crystal
Ce 0.0000 0.0000 0.0000
Tl 0.0000 0.5000 0.5000
Tl 0.5000 0.0000 0.5000
Sn 0.5000 0.5000 0.0000
Te 0.2330 0.5000 0.2150
Te 0.2503 0.0000 0.7828
Te 0.7497 0.0000 0.2172
Te 0.7670 0.5000 0.7850

=====

No. 5
! Tm6CdIr2, relaxed, DFT GGA-PBE; values from VASP
! Symmetry ... Immm (71)
! E_form ... -0.589 eV per atom
&SYSTEM
  ibrav = 0, nat = 18, ntyp = 3
/
ATOMIC_SPECIES
Tm 168.93 Tm.upf
Cd 112.41 Cd.upf
Ir 192.22 Ir.upf
CELL_PARAMETERS angstrom
-4.6203 4.6932 5.1997
4.6203 -4.6932 5.1997
4.6203 4.6932 -5.1997
ATOMIC_POSITIONS crystal
Tm 0.0377 0.2402 0.7976
Tm 0.1816 0.2862 0.4678
Tm 0.1816 0.7138 0.8954
Tm 0.3310 0.0226 0.6916
Tm 0.3310 0.6394 0.3084
Tm 0.4426 0.2402 0.2024
Tm 0.5574 0.7598 0.7976
Tm 0.6690 0.3606 0.6916
Tm 0.6690 0.9774 0.3084
Tm 0.8184 0.2862 0.1046
Tm 0.8184 0.7138 0.5322
Tm 0.9623 0.7598 0.2024
Cd 0.0000 0.0000 0.0000
Cd 0.5000 0.5000 0.0000
Ir 0.1323 0.6323 0.5000
Ir 0.3298 0.0000 0.3298
Ir 0.6702 0.0000 0.6702
Ir 0.8677 0.3677 0.5000

=====

No. 6
! Pm2HgGe4Pd3, relaxed, DFT GGA-PBE; values from VASP
! Symmetry ... P-4m2 (115)
! E_form ... -0.672 eV per atom
&SYSTEM
  ibrav = 0, nat = 10, ntyp = 4
/
ATOMIC_SPECIES
Pm 145.00 Pm.upf
Hg 200.59 Hg.upf
Ge 72.64 Ge.upf
Pd 106.42 Pd.upf
CELL_PARAMETERS angstrom
4.3242 0.0000 0.0000
0.0000 4.3242 0.0000
0.0000 0.0000 10.6821
ATOMIC_POSITIONS crystal
Pm 0.0000 0.5000 0.2434
Pm 0.5000 0.0000 0.7566
Hg 0.0000 0.0000 0.5000
Ge 0.0000 0.0000 0.0000
Ge 0.0000 0.5000 0.6493
Ge 0.5000 0.0000 0.3507
Ge 0.5000 0.5000 0.0000
Pd 0.0000 0.5000 0.8770
Pd 0.5000 0.0000 0.1230
Pd 0.5000 0.5000 0.5000

=====

No. 7
! BaYTa2, relaxed, DFT GGA-PBE; values from VASP
! Symmetry ... Fm-3m (225)
! E_form ... 1.305 eV per atom
! Excess energy over the best structure of this formula in the dataset ... 873.4 meV/atom
&SYSTEM
  ibrav = 0, nat = 16, ntyp = 3
/
ATOMIC_SPECIES
Ba 137.33 Ba.upf
Y 88.91 Y.upf
Ta 180.95 Ta.upf
CELL_PARAMETERS angstrom
7.4004 0.0000 0.0000
0.0000 7.4004 0.0000
0.0000 0.0000 7.4004
ATOMIC_POSITIONS crystal
Ba 0.0000 0.0000 0.0000
Ba 0.0000 0.5000 0.5000
Ba 0.5000 0.0000 0.5000
Ba 0.5000 0.5000 0.0000
Y 0.0000 0.0000 0.5000
Y 0.0000 0.5000 0.0000
Y 0.5000 0.0000 0.0000
Y 0.5000 0.5000 0.5000
Ta 0.2500 0.2500 0.2500
Ta 0.2500 0.2500 0.7500
Ta 0.2500 0.7500 0.2500
Ta 0.2500 0.7500 0.7500
Ta 0.7500 0.2500 0.2500
Ta 0.7500 0.2500 0.7500
Ta 0.7500 0.7500 0.2500
Ta 0.7500 0.7500 0.7500

=====

No. 8
! HoSc3Hg2, relaxed, DFT GGA-PBE; values from VASP
! Symmetry ... Pmc2_1 (26)
! E_form ... -0.350 eV per atom
&SYSTEM
  ibrav = 0, nat = 12, ntyp = 3
/
ATOMIC_SPECIES
Ho 164.93 Ho.upf
Sc 44.96 Sc.upf
Hg 200.59 Hg.upf
CELL_PARAMETERS angstrom
4.8770 0.0000 0.0000
0.0000 8.7046 0.0000
0.0000 0.0000 6.7425
ATOMIC_POSITIONS crystal
Ho 0.0000 0.0500 0.0000
Ho 0.0000 0.9500 0.5000
Sc 0.0000 0.3304 0.6627
Sc 0.0000 0.6696 0.1627
Sc 0.5000 0.1822 0.3104
Sc 0.5000 0.4506 0.9711
Sc 0.5000 0.5494 0.4711
Sc 0.5000 0.8178 0.8104
Hg 0.0000 0.3509 0.2326
Hg 0.0000 0.6491 0.7326
Hg 0.5000 0.1539 0.7408
Hg 0.5000 0.8461 0.2408

=====

No. 9
! GeAs2P, relaxed, DFT GGA-PBE; values from VASP
! Symmetry ... I-42d (122)
! E_form ... 0.298 eV per atom
! Excess energy over the best structure of this formula in the dataset ... 0.0 meV/atom
&SYSTEM
  ibrav = 0, nat = 16, ntyp = 3
/
ATOMIC_SPECIES
Ge 72.64 Ge.upf
As 74.92 As.upf
P 30.97 P.upf
CELL_PARAMETERS angstrom
5.3057 0.0000 0.0000
0.0000 5.3057 0.0000
0.0000 0.0000 13.5832
ATOMIC_POSITIONS crystal
Ge 0.0000 0.0000 0.0000
Ge 0.0000 0.5000 0.2500
Ge 0.5000 0.0000 0.7500
Ge 0.5000 0.5000 0.5000
As 0.2283 0.2500 0.6250
As 0.2500 0.7283 0.8750
As 0.2500 0.7717 0.3750
As 0.2717 0.2500 0.1250
As 0.7283 0.7500 0.1250
As 0.7500 0.2283 0.3750
As 0.7500 0.2717 0.8750
As 0.7717 0.7500 0.6250
P 0.0000 0.0000 0.5000
P 0.0000 0.5000 0.7500
P 0.5000 0.0000 0.2500
P 0.5000 0.5000 0.0000

=====

No. 10
! Pm2Pr6Sm5, relaxed, DFT GGA-PBE; values from VASP
! Symmetry ... Pbam (55)
! E_form ... 0.093 eV per atom
&SYSTEM
  ibrav = 0, nat = 26, ntyp = 3
/
ATOMIC_SPECIES
Pm 145.00 Pm.upf
Pr 140.91 Pr.upf
Sm 150.36 Sm.upf
CELL_PARAMETERS angstrom
11.9627 0.0000 0.0000
0.0000 20.9734 0.0000
0.0000 0.0000 3.6838
ATOMIC_POSITIONS crystal
Pm 0.1705 0.2140 0.0000
Pm 0.3295 0.7140 0.0000
Pm 0.6705 0.2860 0.0000
Pm 0.8295 0.7860 0.0000
Pr 0.0605 0.9218 0.0000
Pr 0.0799 0.6338 0.0000
Pr 0.1781 0.3681 0.5000
Pr 0.3219 0.8681 0.5000
Pr 0.4201 0.1338 0.0000
Pr 0.4395 0.4218 0.0000
Pr 0.5605 0.5782 0.0000
Pr 0.5799 0.8662 0.0000
Pr 0.6781 0.1319 0.5000
Pr 0.8219 0.6319 0.5000
Pr 0.9201 0.3662 0.0000
Pr 0.9395 0.0782 0.0000
Sm 0.0000 0.5000 0.5000
Sm 0.0881 0.7761 0.5000
Sm 0.1989 0.0556 0.5000
Sm 0.3011 0.5556 0.5000
Sm 0.4119 0.2761 0.5000
Sm 0.5000 0.0000 0.5000
Sm 0.5881 0.7239 0.5000
Sm 0.6989 0.4444 0.5000
Sm 0.8011 0.9444 0.5000
Sm 0.9119 0.2239 0.5000

=====

no.,size of the total moment (μB per atom),N(E_F) (states/eV per cell)
1,0.0000,19.43
2,2.0112,17.95
3,0.0000,3.47
4,0.0231,3.37
5,0.0000,17.75
6,0.0000,3.60
7,0.0000,29.94
8,0.0000,4.68
9,0.0000,4.79
10,0.0000,31.38